A relaxed LiPmInCu crystal. Source: the Open Quantum Materials Database, functional PBE-GGA.

Output
Theoretical density = 7.044 g/cm³
Total moment = 0.00 μB/cell
E_tot = -3.64 eV per atom

The structure in CIF format:
```
data_LiPmInCu
_chemical_formula_sum 'Li1 Pm1 In1 Cu1'
_cell_length_a 4.793
_cell_length_b 4.793
_cell_length_c 4.793
_cell_angle_alpha 60.00
_cell_angle_beta 60.00
_cell_angle_gamma 60.00
_symmetry_space_group_name_H-M 'P 1'
_symmetry_Int_Tables_number 1
loop_
_symmetry_equiv_pos_as_xyz
'x,y,z'
loop_
_atom_site_label
_atom_site_type_symbol
_atom_site_fract_x
_atom_site_fract_y
_atom_site_fract_z
Cu1 Cu 0.250 0.250 0.250
In1 In 0.500 0.500 0.500
Li1 Li 0.750 0.750 0.750
Pm1 Pm 0.000 0.000 0.000
```